[1]
## Sm2MgAl2Ni5 (PBE-GGA)

Data for a geometry-optimized Sm2MgAl2Ni5 structure.

Calculated values
D(E_F)   0.71 states/eV per atom
DFT formation energy   -0.292 eV per atom
Energy   -5.03 eV/atom
Spin magnetization   0.000 μB/f.u.

abc: 9.9050 9.9050 3.3944
angles: 90.00 90.00 90.00
Closest atoms and distances in Å follow each position.
Space group P4/mbm (No. 127)
Asymmetric unit:
Sm1 0.1798 0.3202 0.0000 (multiplicity 4)  3 Al 2.85-3.01, 10 Ni 3.04-3.12
Mg1 0.0000 0.0000 0.0000 (multiplicity 2)  8 Ni 2.81
Al1 0.1170 0.6170 0.0000 (multiplicity 4)  6 Ni 2.36-2.42
Ni1 0.0000 0.5000 0.5000 (multiplicity 2)  4 Al 2.36
Ni2 0.0592 0.7819 0.5000 (multiplicity 8)  2 Al 2.42


[2]
## UMn2Si (PBE-GGA)

Data for a geometry-optimized UMn2Si structure.

Calculated values
D(E_F)   1.42 states/eV per atom
ΔE_f (raw)   -0.45 eV per formula unit
Energy   -8.87 eV/atom
Spin magnetization   1.721 μB/f.u.

abc: 2.8539 2.8539 6.7796
angles: 90.00 90.00 90.00
Closest atoms and distances in Å follow each position.
Space group P4/mmm (No. 123)
Asymmetric unit:
U1 0.0000 0.0000 0.0000 (multiplicity 1)  4 U 2.85, 8 Mn 2.87
Mn1 0.5000 0.5000 0.3014 (multiplicity 2)  4 Si 2.43, 1 Mn 2.69
Si1 0.0000 0.0000 0.5000 (multiplicity 1)  8 Mn 2.43


[3]
## MgBeZnPd (PBE-GGA)

Data for a geometry-optimized MgBeZnPd structure.

Calculated values
D(E_F)   0.53 states/eV per atom
DFT formation energy   -0.230 eV per atom
Energy   -3.18 eV/atom
Spin magnetization   0.000 μB/f.u.

abc: 6.0624 6.0624 6.0624
angles: 90.00 90.00 90.00
Closest atoms and distances in Å follow each position.
Space group F-43m (No. 216)
Asymmetric unit:
Mg1 0.0000 0.0000 0.0000 (multiplicity 4)  4 Be 2.63, 4 Zn 2.63
Be1 0.2500 0.2500 0.7500 (multiplicity 4)  4 Mg 2.63, 4 Pd 2.63
Zn1 0.2500 0.2500 0.2500 (multiplicity 4)  4 Mg 2.63, 4 Pd 2.63
Pd1 0.0000 0.0000 0.5000 (multiplicity 4)  4 Be 2.63, 4 Zn 2.63


[4]
## RbSrN2O (PBE-GGA)

Data for a geometry-optimized RbSrN2O structure.

Calculated values
D(E_F)   0.69 states/eV per atom
ΔE_f (raw)   6.52 eV per formula unit
Energy   -3.55 eV/atom
Spin magnetization   3.002 μB/f.u.

abc: 4.6284 4.6284 4.7961
angles: 90.00 90.00 90.00
Closest atoms and distances in Å follow each position.
Space group P4/mmm (No. 123)
Asymmetric unit:
Rb1 0.0000 0.0000 0.0000 (multiplicity 1)  4 N 2.31, 2 O 2.40
Sr1 0.5000 0.5000 0.5000 (multiplicity 1)  4 O 3.27, 8 N 3.33
N1 0.0000 0.5000 0.0000 (multiplicity 2)  2 Rb 2.31
O1 0.0000 0.0000 0.5000 (multiplicity 1)  2 Rb 2.40


[5]
## Sr2ScTe (PBE-GGA)

Data for a geometry-optimized Sr2ScTe structure.

Calculated values
D(E_F)   0.95 states/eV per atom
ΔE_f (raw)   -2.03 eV per formula unit
Energy   -3.72 eV/atom
Spin magnetization   1.152 μB/f.u.

abc: 3.9297 3.9297 9.4457
angles: 90.00 90.00 90.00
Closest atoms and distances in Å follow each position.
Space group P4mm (No. 99)
Asymmetric unit:
Sr1 0.0000 0.0000 0.0000 (multiplicity 1)  4 Sc 3.73, 1 Te 3.73, 4 Sr 3.93
Sr2 0.5000 0.5000 0.3552 (multiplicity 1)  1 Sc 3.61, 4 Te 3.64, 4 Sr 3.93
Sc1 0.5000 0.5000 0.7372 (multiplicity 1)  4 Te 3.05
Te1 0.0000 0.0000 0.6046 (multiplicity 1)  4 Sc 3.05


[6]
## Mg2SiPt (PBE-GGA)

Data for a geometry-optimized Mg2SiPt structure.

Calculated values
D(E_F)   0.37 states/eV per atom
ΔE_f (raw)   -1.91 eV per formula unit
Energy   -4.14 eV/atom
Spin magnetization   0.000 μB/f.u.

abc: 9.1941 4.6206 8.6619
angles: 90.00 118.25 90.00
Closest atoms and distances in Å follow each position.
Space group C2/c (No. 15)
Asymmetric unit:
Mg1 0.1848 0.0395 0.0963 (multiplicity 8)  3 Pt 2.76-2.83, 3 Si 2.78-3.09, 1 Mg 3.02
Si1 0.0000 0.3004 0.2500 (multiplicity 4)  2 Pt 2.31
Pt1 0.0000 0.1999 0.7500 (multiplicity 4)  2 Si 2.31


[7]
## SrHf2GaP (PBE-GGA)

Data for a geometry-optimized SrHf2GaP structure.

Calculated values
D(E_F)   0.94 states/eV per atom
DFT formation energy   0.608 eV per atom
Energy   -5.40 eV/atom
Spin magnetization   0.000 μB/f.u.

abc: 4.9786 4.9786 5.6682
angles: 90.00 90.00 90.00
Closest atoms and distances in Å follow each position.
Space group P4/mmm (No. 123)
Asymmetric unit:
Sr1 0.0000 0.0000 0.0000 (multiplicity 1)  2 Ga 2.83
Hf1 0.0000 0.5000 0.5000 (multiplicity 2)  2 Ga 2.49
Ga1 0.0000 0.0000 0.5000 (multiplicity 1)  4 Hf 2.49
P1 0.5000 0.5000 0.0000 (multiplicity 1)  4 Sr 3.52, 8 Hf 3.77


[8]
## Ca2IrC (PBE-GGA)

Data for a geometry-optimized Ca2IrC structure.

Calculated values
D(E_F)   0.66 states/eV per atom
DFT formation energy   -0.211 eV per atom
Energy   -5.73 eV/atom
Spin magnetization   0.000 μB/f.u.

abc: 3.8099 3.8590 13.7421
angles: 90.00 90.00 90.00
Closest atoms and distances in Å follow each position.
Space group Immm (No. 71)
Asymmetric unit:
Ca1 0.0000 0.0000 0.1212 (multiplicity 4)  2 C 2.53
Ir1 0.0000 0.0000 0.5000 (multiplicity 2)  2 C 1.93
C1 0.0000 0.5000 0.5000 (multiplicity 2)  2 Ir 1.93


| no. | ρ (g cm⁻³) |
| --- | --- |
| 1 | 6.71 |
| 2 | 11.31 |
| 3 | 6.12 |
| 4 | 3.51 |
| 5 | 3.96 |
| 6 | 5.57 |
| 7 | 6.45 |
| 8 | 4.67 |